A plane-wave DFT calculation with PBEsol was carried out for a relaxed structure of Li2ZnMo.

Output
The calculation puts the density of states at the Fermi level at 5.6 states/eV/cell. The formation enthalpy at 0 K comes out at 0.8 eV/f.u.

Unit cell a=2.6496 b=2.6496 c=28.7159 alpha=90.00 beta=90.00 gamma=120.00
Space group R-3m (No. 166, hexagonal axes)
Asymmetric unit:
Li: 0.0000 0.0000 0.2488
Zn: 0.0000 0.0000 0.5000
Mo: 0.0000 0.0000 0.0000